This record from Alexandria describes a relaxed ZrCr2Cu crystal. The functional is GGA-PBE.

a = 4.3952 Å, b = 4.3952 Å, c = 4.3952 Å
α = 60.00°, β = 60.00°, γ = 60.00°
Closest atoms and distances in Å follow each position.
Fractional coordinates of all 4 atoms:
Zr: 0.5000 0.5000 0.5000  8 Cr 2.69
Cr: 0.7500 0.7500 0.7500  4 Cu 2.69, 4 Zr 2.69
Cr: 0.2500 0.2500 0.2500  4 Zr 2.69, 4 Cu 2.69
Cu: 0.0000 0.0000 0.0000  8 Cr 2.69

- density of states at the Fermi level (states/eV per atom) = 1.03
- E_form (meV/atom) = 473
- polymorph energy (0 for the lowest one) (eV per atom) = 0.344
- calculated volume (Å³/cell) = 60
- theoretical density (g/cm³) = 7.157